# 1
A crystal of Ta4TcIr relaxed with PBEsol. Source: the Alexandria database, functional meta-GGA SCAN.

```
Ta4TcIr
1.0
5.236 0.000 0.000
2.618 4.534 0.000
2.618 1.511 4.275
Ir Ta Tc
1 4 1
Cartesian
0.000 0.000 0.000
5.236 3.023 0.541
3.932 3.775 2.670
5.236 1.518 2.670
6.539 3.775 2.670
2.618 1.511 1.069
```

Values from the calculation:
formation enthalpy at 0 K	1.76	eV per formula unit
spin magnetization	1.20	μB per formula unit
symmetry	No. 216


# 2
A crystal of TaTcIr relaxed with PBEsol. Source: the Alexandria database, functional meta-GGA SCAN.

```
TaTcIr
1.0
2.741 0.000 0.000
0.000 2.741 0.000
-1.370 -1.370 6.076
Ir Ta Tc
1 1 1
Cartesian
1.370 1.370 5.966
1.370 1.370 2.000
0.000 0.000 4.186
```

Values from the calculation:
formation enthalpy at 0 K	-1.11	eV per formula unit
spin magnetization	0.00	μB per formula unit
symmetry	No. 107


# 3
A crystal of Ta2TlTcIr relaxed with PBEsol. Source: the Alexandria database, functional meta-GGA SCAN.

```
Ta2TlTcIr
1.0
-2.091 4.257 -0.002
-4.203 -2.064 1.508
1.353 0.666 4.682
Tl Ir Tc Ta
1 1 1 2
Cartesian
0.000 0.000 0.000
-1.046 2.129 -0.001
-2.471 1.430 3.094
0.676 0.333 2.341
-2.101 -1.032 0.754
```

Values from the calculation:
formation enthalpy at 0 K	13.41	eV per formula unit
spin magnetization	1.76	μB per formula unit
symmetry	No. 123


# 4
A crystal of TaTlTc2Ir relaxed with PBEsol. Source: the Alexandria database, functional meta-GGA SCAN.

```
TaTlTc2Ir
1.0
-1.387 -2.503 -3.744
-3.175 -2.277 2.699
-3.242 3.317 -1.016
Tl Ir Tc Ta
1 1 2 1
Cartesian
0.000 0.000 0.000
-0.694 -1.252 -1.872
-1.621 1.658 -0.508
-1.588 -1.138 1.349
-3.902 -0.732 -1.031
```

Values from the calculation:
formation enthalpy at 0 K	13.20	eV per formula unit
spin magnetization	2.54	μB per formula unit
symmetry	No. 123


# 5
A crystal of TaTe2Ir relaxed with PBEsol. Source: the Alexandria database, functional meta-GGA SCAN.

```
TaTe2Ir
1.0
4.820 0.000 0.000
2.410 4.174 0.000
2.410 1.391 3.936
Ir Ta Te
1 1 2
Cartesian
4.820 2.783 1.968
7.230 4.174 2.952
0.000 0.000 0.000
2.410 1.391 0.984
```

Values from the calculation:
spin magnetization	0.00	μB per formula unit
symmetry	No. 216
distance to the lowest polymorph of the same formula	859.0	meV per atom
raw formation energy	0.675	eV/atom


# 6
A crystal of TaTeIr2 relaxed with PBEsol. Source: the Alexandria database, functional meta-GGA SCAN.

```
TaTeIr2
1.0
3.046 0.000 0.000
0.000 3.848 0.000
0.000 0.000 5.731
Ir Ta Te
2 1 1
Cartesian
0.000 0.000 4.398
0.000 0.000 1.333
1.523 1.924 0.000
1.523 1.924 2.866
```

Values from the calculation:
spin magnetization	0.00	μB per formula unit
symmetry	No. 47
raw formation energy	-0.081	eV/atom


# 7
A crystal of TaTeIr2 relaxed with PBEsol. Source: the Alexandria database, functional meta-GGA SCAN.

```
TaTeIr2
1.0
-0.079 1.453 2.673
2.238 -3.572 2.008
4.054 1.650 -2.509
Ir Ta Te
2 1 1
Cartesian
0.170 0.053 -0.024
2.582 1.016 1.257
4.881 0.621 -0.193
3.712 -1.570 0.963
```

Values from the calculation:
spin magnetization	0.00	μB per formula unit
symmetry	No. 8
raw formation energy	0.021	eV/atom


# 8
A crystal of TaTe2Ir relaxed with PBEsol. Source: the Alexandria database, functional meta-GGA SCAN.

```
TaTe2Ir
1.0
-0.466 1.819 -2.417
-2.984 0.127 0.671
1.519 7.488 5.344
Ir Ta Te
1 1 2
Cartesian
0.823 4.055 2.894
-0.638 6.329 2.950
1.415 6.975 4.978
-1.251 3.307 0.793
```

Values from the calculation:
spin magnetization	0.00	μB per formula unit
symmetry	No. 99
distance to the lowest polymorph of the same formula	159.5	meV per atom
raw formation energy	-0.024	eV/atom